[1]
ReIr3W | PBE | relaxed

Summary:
Raw total energy: -40.934 eV per cell

Geometry as extended XYZ:
```
5
Lattice="4.699 0.000 0.000 0.000 4.699 0.000 0.000 0.000 4.699" Properties=species:S:1:pos:R:3 pbc="T T T"
Re 0.000 0.000 0.000
Ir 0.000 2.350 2.350
Ir 2.350 0.000 2.350
Ir 2.350 2.350 0.000
W 2.350 2.350 2.350
```

[2]
Tl2As2Ru | PBE | relaxed

Summary:
Raw total energy: -46.222 eV per cell

Geometry as extended XYZ:
```
10
Lattice="6.360 0.000 0.000 0.000 6.360 0.000 0.000 0.000 5.713" Properties=species:S:1:pos:R:3 pbc="T T T"
Tl 1.209 1.971 0.000
Tl 1.971 5.151 0.000
Tl 4.390 1.209 0.000
Tl 5.151 4.390 0.000
As 0.911 4.091 2.856
As 2.269 0.911 2.856
As 4.091 5.449 2.856
As 5.449 2.269 2.856
Ru 0.000 0.000 2.856
Ru 3.180 3.180 2.856
```

[3]
Ta2NbZn2 | PBE | relaxed

Summary:
Raw total energy: -71.656 eV per cell

Geometry as extended XYZ:
```
10
Lattice="6.956 0.000 0.000 0.000 6.956 0.000 0.000 0.000 3.450" Properties=species:S:1:pos:R:3 pbc="T T T"
Ta 1.246 2.232 0.000
Ta 2.232 5.710 0.000
Ta 4.723 1.246 0.000
Ta 5.710 4.723 0.000
Nb 0.000 0.000 1.725
Nb 3.478 3.478 1.725
Zn 0.846 4.324 1.725
Zn 2.632 0.846 1.725
Zn 4.324 6.110 1.725
Zn 6.110 2.632 1.725
```

[4]
Sc2MnGa8 | PBE | relaxed

Summary:
Raw total energy: -50.370 eV per cell

Geometry as extended XYZ:
```
11
Lattice="4.114 0.000 0.000 0.000 4.114 0.000 0.000 0.000 11.085" Properties=species:S:1:pos:R:3 pbc="T T T"
Sc 0.000 0.000 2.065
Sc 0.000 0.000 9.020
Mn 0.000 0.000 5.543
Ga 0.000 2.057 0.000
Ga 0.000 2.057 4.121
Ga 0.000 2.057 6.964
Ga 2.057 0.000 0.000
Ga 2.057 0.000 4.121
Ga 2.057 0.000 6.964
Ga 2.057 2.057 2.083
Ga 2.057 2.057 9.002
```

| no. | DOS at the Fermi energy (states/eV/cell) | V (Å³/cell) | formation energy (kJ/mol of atoms) |
| --- | --- | --- | --- |
| 1 | 4.7 | 103.8 | 213 |
| 2 | 4.6 | 231.1 | 4 |
| 3 | 8.2 | 166.9 | 10 |
| 4 | 4.1 | 187.6 | -38 |